Tb12Tm6Zr: optimized geometry, PBE.

abc: 15.3120 15.3120 8.6111
angles: 90.00 90.00 120.00
Space group R-3 (No. 148, hexagonal axes)
One atom of each set of equivalent atoms:
Tb1 0.0356 0.2812 0.3359 x18
Tb2 0.0751 0.5637 0.6669 x18
Tm1 0.0171 0.1369 0.6716 x18
Zr1 0.0000 0.0000 0.0000 x3

Values from the calculation:
ΔE_f	0.032	eV per atom
total magnetic moment	0.000	Bohr magnetons per cell
calculated density	8.6	g/cm³
crystal system	trigonal

Tc2MoP: optimized geometry, PBE.

abc: 5.262 8.495 2.835
angles: 90.00 114.37 90.00
Space group C2/m (No. 12)
One atom of each set of equivalent atoms:
Tc1 0.250 0.250 0.000 x4
Mo1 0.000 0.000 0.500 x2
P1 0.000 0.500 0.500 x2

Values from the calculation:
ΔE_f	0.138	eV per atom
total magnetic moment	0.000	Bohr magnetons per cell
calculated density	9.3	g/cm³
crystal system	monoclinic

La2Cu2I: optimized geometry, PBE.

abc: 4.3018 4.3018 26.1973
angles: 90.00 90.00 120.00
Space group R-3m (No. 166, hexagonal axes)
One atom of each set of equivalent atoms:
La1 0.0000 0.0000 0.0693 x6
Cu1 0.0000 0.0000 0.3329 x6
I1 0.0000 0.0000 0.5000 x3

Values from the calculation:
total magnetic moment	0.000	Bohr magnetons per cell
calculated density	6.3	g/cm³
energy relative to the elements, uncorrected	-589	meV/atom
crystal system	trigonal

CsVI3: optimized geometry, PBE.

abc: 5.790 5.790 5.790
angles: 90.00 90.00 90.00
Space group Pm-3m (No. 221)
One atom of each set of equivalent atoms:
Cs1 0.000 0.000 0.000 x1
V1 0.500 0.500 0.500 x1
I1 0.000 0.500 0.500 x3

Values from the calculation:
total magnetic moment	3.000	Bohr magnetons per cell
calculated density	4.8	g/cm³
energy relative to the elements, uncorrected	-779	meV/atom
crystal system	cubic

TeW2N: optimized geometry, PBE.

abc: 6.231 6.231 6.231
angles: 90.00 90.00 90.00
Space group Fm-3m (No. 225)
One atom of each set of equivalent atoms:
Te1 0.000 0.000 0.000 x4
W1 0.250 0.250 0.250 x8
N1 0.000 0.000 0.500 x4

Values from the calculation:
total magnetic moment	0.000	Bohr magnetons per cell
calculated density	14.0	g/cm³
energy relative to the elements, uncorrected	1377	meV/atom
crystal system	cubic

Ac2CoSi3Ni12: optimized geometry, PBE.

abc: 7.6741 7.6741 17.5372
angles: 90.00 90.00 120.00
Space group R-3m (No. 166, hexagonal axes)
One atom of each set of equivalent atoms:
Ac1 0.0000 0.0000 0.1196 x6
Co1 0.0000 0.0000 0.5000 x3
Si1 0.0000 0.5000 0.0000 x9
Ni1 0.0135 0.5067 0.1238 x18
Ni2 0.0324 0.5162 0.3692 x18

Values from the calculation:
total magnetic moment	7.807	Bohr magnetons per cell
calculated density	7.2	g/cm³
energy relative to the elements, uncorrected	138	meV/atom
crystal system	trigonal